# 1
# Na2In4Au3 | Alexandria | GGA-PBE | optimized geometry
# Energy of formation from the pure elements, eV/f.u.: -2.3
data_Na2In4Au3
_chemical_formula_sum 'Na4 In8 Au6'
_cell_length_a 8.675
_cell_length_b 8.675
_cell_length_c 8.519
_cell_angle_alpha 90.00
_cell_angle_beta 90.00
_cell_angle_gamma 137.77
_space_group_name_H-M_alt 'P 1'
_space_group_IT_number 1
loop_
_space_group_symop_operation_xyz
'x,y,z'
loop_
_atom_site_label
_atom_site_fract_x
_atom_site_fract_y
_atom_site_fract_z
Na1 0.109 0.891 0.900
Na2 0.391 0.609 0.400
Na3 0.609 0.391 0.600
Na4 0.891 0.109 0.100
In1 0.182 0.818 0.516
In2 0.189 0.311 0.750
In3 0.311 0.189 0.250
In4 0.318 0.682 0.016
In5 0.682 0.318 0.984
In6 0.689 0.811 0.750
In7 0.811 0.689 0.250
In8 0.818 0.182 0.484
Au1 0.000 0.000 0.500
Au2 0.013 0.487 0.750
Au3 0.487 0.013 0.250
Au4 0.500 0.500 0.000
Au5 0.513 0.987 0.750
Au6 0.987 0.513 0.250

---

# 2
# NaYO | Alexandria | GGA-PBE | optimized geometry
# ΔE_f (raw), kJ per mole of atoms: -165
# Relative energy among the computed polymorphs, meV/atom: 39.5
data_NaYO
_chemical_formula_sum 'Na2 Y2 O2'
_cell_length_a 3.514
_cell_length_b 6.559
_cell_length_c 6.645
_cell_angle_alpha 90.01
_cell_angle_beta 90.01
_cell_angle_gamma 105.38
_space_group_name_H-M_alt 'P 1'
_space_group_IT_number 1
loop_
_space_group_symop_operation_xyz
'x,y,z'
loop_
_atom_site_label
_atom_site_fract_x
_atom_site_fract_y
_atom_site_fract_z
Na1 0.000 0.000 0.000
Na2 0.005 0.000 0.507
Y1 0.285 0.562 0.253
Y2 0.733 0.459 0.753
O1 0.811 0.614 0.467
O2 0.811 0.615 0.040

---

# 3
# AlSb2Br | Alexandria | GGA-PBE | optimized geometry
# ΔE_f (raw), kJ per mole of atoms: 6
# Relative energy among the computed polymorphs, meV/atom: 260.6
data_AlSb2Br
_chemical_formula_sum 'Al1 Sb2 Br1'
_cell_length_a 3.581
_cell_length_b 3.581
_cell_length_c 9.082
_cell_angle_alpha 90.00
_cell_angle_beta 90.00
_cell_angle_gamma 90.00
_space_group_name_H-M_alt 'P 1'
_space_group_IT_number 1
loop_
_space_group_symop_operation_xyz
'x,y,z'
loop_
_atom_site_label
_atom_site_fract_x
_atom_site_fract_y
_atom_site_fract_z
Al1 0.000 0.000 0.000
Sb1 0.000 0.000 0.558
Sb2 0.500 0.500 0.747
Br1 0.500 0.500 0.169

---

# 4
# Sc2PdCl | Alexandria | GGA-PBE | optimized geometry
# ΔE_f (raw), kJ per mole of atoms: -49
# Relative energy among the computed polymorphs, meV/atom: 445.6
data_Sc2PdCl
_chemical_formula_sum 'Sc2 Pd1 Cl1'
_cell_length_a 9.385
_cell_length_b 9.385
_cell_length_c 9.385
_cell_angle_alpha 19.34
_cell_angle_beta 19.34
_cell_angle_gamma 19.34
_space_group_name_H-M_alt 'P 1'
_space_group_IT_number 1
loop_
_space_group_symop_operation_xyz
'x,y,z'
loop_
_atom_site_label
_atom_site_fract_x
_atom_site_fract_y
_atom_site_fract_z
Sc1 0.090 0.090 0.090
Sc2 0.910 0.910 0.910
Pd1 0.000 0.000 0.000
Cl1 0.500 0.500 0.500

---

# 5
# Ca2Os2Rh | Alexandria | GGA-PBE | optimized geometry
# Energy of formation from the pure elements, eV/f.u.: 5.6
# Relative energy among the computed polymorphs, meV/atom: 846.7
data_Ca2Os2Rh
_chemical_formula_sum 'Ca4 Os4 Rh2'
_cell_length_a 8.637
_cell_length_b 8.637
_cell_length_c 2.654
_cell_angle_alpha 90.00
_cell_angle_beta 90.00
_cell_angle_gamma 90.00
_space_group_name_H-M_alt 'P 1'
_space_group_IT_number 1
loop_
_space_group_symop_operation_xyz
'x,y,z'
loop_
_atom_site_label
_atom_site_fract_x
_atom_site_fract_y
_atom_site_fract_z
Ca1 0.129 0.371 0.000
Ca2 0.371 0.871 0.000
Ca3 0.629 0.129 0.000
Ca4 0.871 0.629 0.000
Os1 0.173 0.673 0.500
Os2 0.327 0.173 0.500
Os3 0.673 0.827 0.500
Os4 0.827 0.327 0.500
Rh1 0.000 0.000 0.000
Rh2 0.500 0.500 0.000

---

# 6
# SrSmMg2In4 | Alexandria | GGA-PBE | optimized geometry
# Energy of formation from the pure elements, eV/f.u.: -2.4
data_SrSmMg2In4
_chemical_formula_sum 'Sr1 Sm1 Mg2 In4'
_cell_length_a 9.262
_cell_length_b 9.262
_cell_length_c 9.262
_cell_angle_alpha 33.36
_cell_angle_beta 33.36
_cell_angle_gamma 33.36
_space_group_name_H-M_alt 'P 1'
_space_group_IT_number 1
loop_
_space_group_symop_operation_xyz
'x,y,z'
loop_
_atom_site_label
_atom_site_fract_x
_atom_site_fract_y
_atom_site_fract_z
Sr1 0.000 0.000 0.000
Sm1 0.500 0.500 0.500
Mg1 0.250 0.250 0.250
Mg2 0.750 0.750 0.750
In1 0.127 0.127 0.127
In2 0.378 0.378 0.378
In3 0.622 0.622 0.622
In4 0.873 0.873 0.873

---

So what do the calculations give for mass density? Going down the list: 8.45 2.88 5.00 4.86 9.45 5.79 g/cm3.
So what do the calculations give for magnetic moment? Going down the list: 0.0 0.0 0.0 0.0 1.5 0.0 μB per formula unit.